No. 1
{
  "formula": "ErNbP2Rh5",
  "functional": "PBE-GGA",
  "state": "optimized geometry",
  "e_tot_ev_per_atom": -7.309,
  "lattice_angstrom": [[3.989, 0.000, 0.000], [0.000, 3.989, 0.000], [0.000, 0.000, 10.358]],
  "species": ["Er", "Nb", "P", "P", "Rh", "Rh", "Rh", "Rh", "Rh"],
  "fractional_positions": [[0.000, 0.000, 0.000], [0.500, 0.500, 0.500], [0.500, 0.500, 0.216], [0.500, 0.500, 0.784], [0.000, 0.500, 0.327], [0.000, 0.500, 0.673], [0.500, 0.000, 0.327], [0.500, 0.000, 0.673], [0.500, 0.500, 0.000]]
}

=====

No. 2
{
  "formula": "LiTl3Hg12",
  "functional": "PBE-GGA",
  "state": "optimized geometry",
  "e_tot_ev_per_atom": -0.837,
  "lattice_angstrom": [[4.577, 0.000, 0.000], [0.000, 4.577, 0.000], [0.000, 0.000, 20.595]],
  "species": ["Li", "Tl", "Tl", "Tl", "Hg", "Hg", "Hg", "Hg", "Hg", "Hg", "Hg", "Hg", "Hg", "Hg", "Hg", "Hg"],
  "fractional_positions": [[0.000, 0.000, 0.000], [0.000, 0.000, 0.237], [0.000, 0.000, 0.500], [0.000, 0.000, 0.763], [0.000, 0.500, 0.110], [0.000, 0.500, 0.369], [0.000, 0.500, 0.631], [0.000, 0.500, 0.890], [0.500, 0.000, 0.110], [0.500, 0.000, 0.369], [0.500, 0.000, 0.631], [0.500, 0.000, 0.890], [0.500, 0.500, 0.000], [0.500, 0.500, 0.245], [0.500, 0.500, 0.500], [0.500, 0.500, 0.755]]
}

=====

No. 3
{
  "formula": "Nd8Sn5Pb",
  "functional": "PBE-GGA",
  "state": "optimized geometry",
  "e_tot_ev_per_atom": -5.137,
  "lattice_angstrom": [[-4.813, 4.813, 4.818], [4.813, -4.813, 4.818], [4.813, 4.813, -4.818]],
  "species": ["Nd", "Nd", "Nd", "Nd", "Nd", "Nd", "Nd", "Nd", "Sn", "Sn", "Sn", "Sn", "Sn", "Pb"],
  "fractional_positions": [[0.125, 0.734, 0.748], [0.126, 0.237, 0.749], [0.266, 0.014, 0.391], [0.489, 0.377, 0.251], [0.623, 0.874, 0.111], [0.623, 0.875, 0.609], [0.763, 0.511, 0.889], [0.986, 0.377, 0.252], [0.249, 0.624, 0.125], [0.376, 0.500, 0.625], [0.500, 0.124, 0.875], [0.750, 0.250, 0.500], [0.876, 0.751, 0.375], [0.000, 0.000, 0.000]]
}

=====

No. 4
{
  "formula": "Tb3TeH3",
  "functional": "PBE-GGA",
  "state": "optimized geometry",
  "e_tot_ev_per_atom": -4.480,
  "lattice_angstrom": [[6.244, 0.000, 0.000], [0.000, 6.244, 0.000], [0.000, 0.000, 6.244]],
  "species": ["Tb", "Tb", "Tb", "Tb", "Tb", "Tb", "Te", "Te", "H", "H", "H", "H", "H", "H"],
  "fractional_positions": [[0.000, 0.250, 0.500], [0.000, 0.750, 0.500], [0.250, 0.500, 0.000], [0.500, 0.000, 0.250], [0.500, 0.000, 0.750], [0.750, 0.500, 0.000], [0.000, 0.000, 0.000], [0.500, 0.500, 0.500], [0.000, 0.500, 0.250], [0.000, 0.500, 0.750], [0.250, 0.000, 0.500], [0.500, 0.250, 0.000], [0.500, 0.750, 0.000], [0.750, 0.000, 0.500]]
}

=====

No. 5
{
  "formula": "Tb2Er4Tl3H2",
  "functional": "PBE-GGA",
  "state": "optimized geometry",
  "e_tot_ev_per_atom": -4.035,
  "lattice_angstrom": [[-2.360, 2.360, 12.169], [2.360, -2.360, 12.169], [2.360, 2.360, -12.169]],
  "species": ["Tb", "Tb", "Er", "Er", "Er", "Er", "Tl", "Tl", "Tl", "H", "H"],
  "fractional_positions": [[0.197, 0.197, 0.000], [0.803, 0.803, 0.000], [0.084, 0.584, 0.500], [0.416, 0.916, 0.500], [0.584, 0.084, 0.500], [0.916, 0.416, 0.500], [0.327, 0.327, 0.000], [0.500, 0.500, 0.000], [0.673, 0.673, 0.000], [0.100, 0.100, 0.000], [0.900, 0.900, 0.000]]
}

=====

No. 6
{
  "formula": "Rb2NaTeF6",
  "functional": "PBE-GGA",
  "state": "optimized geometry",
  "de_polymorph_kj_per_mol_atoms": 3.6,
  "e_tot_ev_per_atom": -4.066,
  "lattice_angstrom": [[-3.271, 3.271, 4.411], [3.271, -3.271, 4.411], [3.271, 3.271, -4.411]],
  "species": ["Rb", "Rb", "Na", "Te", "F", "F", "F", "F", "F", "F"],
  "fractional_positions": [[0.250, 0.750, 0.500], [0.750, 0.250, 0.500], [0.000, 0.000, 0.000], [0.500, 0.500, 0.000], [0.248, 0.248, 0.497], [0.248, 0.752, 0.000], [0.261, 0.261, 0.000], [0.739, 0.739, 0.000], [0.752, 0.248, 0.000], [0.752, 0.752, 0.503]]
}

=====

No. 7
{
  "formula": "Al2NiMo",
  "functional": "PBE-GGA",
  "state": "optimized geometry",
  "de_polymorph_kj_per_mol_atoms": 0.0,
  "e_tot_ev_per_atom": -6.385,
  "lattice_angstrom": [[3.951, 0.000, 0.000], [0.000, 3.951, 0.000], [0.000, 0.000, 3.536]],
  "species": ["Al", "Al", "Ni", "Mo"],
  "fractional_positions": [[0.000, 0.500, 0.000], [0.500, 0.000, 0.000], [0.000, 0.000, 0.500], [0.500, 0.500, 0.500]]
}

=====

No. 8
{
  "formula": "PuGaTcRu",
  "functional": "PBE-GGA",
  "state": "optimized geometry",
  "e_tot_ev_per_atom": -9.485,
  "lattice_angstrom": [[0.000, 3.208, 3.208], [3.208, 0.000, 3.208], [3.208, 3.208, 0.000]],
  "species": ["Pu", "Ga", "Tc", "Ru"],
  "fractional_positions": [[0.000, 0.000, 0.000], [0.500, 0.500, 0.500], [0.750, 0.750, 0.750], [0.250, 0.250, 0.250]]
}